## AlCoPb2 (PBE)

Data for a relaxed AlCoPb2 crystal.

Geometry as CIF:
```
data_AlCoPb2
_chemical_formula_sum 'Al1 Co1 Pb2'
_symmetry_space_group_name_H-M 'P 1'
_symmetry_Int_Tables_number 1
_cell_length_a 6.968
_cell_length_b 6.968
_cell_length_c 6.968
_cell_angle_alpha 153.85
_cell_angle_beta 143.30
_cell_angle_gamma 45.62
loop_
_symmetry_equiv_pos_as_xyz
'x,y,z'
loop_
_atom_site_label
_atom_site_type_symbol
_atom_site_fract_x
_atom_site_fract_y
_atom_site_fract_z
Pb1 Pb 0.749 0.249 0.500
Pb2 Pb 0.051 0.051 0.000
Al1 Al 0.422 0.422 0.000
Co1 Co 0.278 0.778 0.500
```

- Energy: -0.3136 Ry per atom
- Size of the total moment: 0.35 μB per cell
- Symmetry: No. 44

## AlCoPb2 (PBE)

Data for a relaxed AlCoPb2 crystal.

Geometry as CIF:
```
data_AlCoPb2
_chemical_formula_sum 'Al1 Co1 Pb2'
_symmetry_space_group_name_H-M 'P 1'
_symmetry_Int_Tables_number 1
_cell_length_a 5.180
_cell_length_b 5.180
_cell_length_c 5.180
_cell_angle_alpha 126.83
_cell_angle_beta 126.83
_cell_angle_gamma 78.53
loop_
_symmetry_equiv_pos_as_xyz
'x,y,z'
loop_
_atom_site_label
_atom_site_type_symbol
_atom_site_fract_x
_atom_site_fract_y
_atom_site_fract_z
Co1 Co 0.750 0.250 0.500
Al1 Al 0.250 0.750 0.500
Pb1 Pb 0.500 0.500 0.000
Pb2 Pb 0.000 0.000 0.000
```

- Energy: -0.2964 Ry per atom
- Size of the total moment: 1.17 μB per cell
- Symmetry: No. 139

## AlCoPb (PBE)

Data for a relaxed AlCoPb crystal.

Geometry as CIF:
```
data_AlCoPb
_chemical_formula_sum 'Al1 Co1 Pb1'
_symmetry_space_group_name_H-M 'P 1'
_symmetry_Int_Tables_number 1
_cell_length_a 4.164
_cell_length_b 4.164
_cell_length_c 3.738
_cell_angle_alpha 90.00
_cell_angle_beta 90.00
_cell_angle_gamma 120.00
loop_
_symmetry_equiv_pos_as_xyz
'x,y,z'
loop_
_atom_site_label
_atom_site_type_symbol
_atom_site_fract_x
_atom_site_fract_y
_atom_site_fract_z
Al1 Al 0.000 0.000 0.167
Pb1 Pb 0.333 0.667 0.667
Co1 Co 0.667 0.333 0.166
```

- Energy: -0.3340 Ry per atom
- Size of the total moment: 0.71 μB per cell
- Symmetry: No. 187

## AlCoPb2 (PBE)

Data for a relaxed AlCoPb2 crystal.

Geometry as CIF:
```
data_AlCoPb2
_chemical_formula_sum 'Al1 Co1 Pb2'
_symmetry_space_group_name_H-M 'P 1'
_symmetry_Int_Tables_number 1
_cell_length_a 4.230
_cell_length_b 4.230
_cell_length_c 7.092
_cell_angle_alpha 73.61
_cell_angle_beta 73.61
_cell_angle_gamma 51.03
loop_
_symmetry_equiv_pos_as_xyz
'x,y,z'
loop_
_atom_site_label
_atom_site_type_symbol
_atom_site_fract_x
_atom_site_fract_y
_atom_site_fract_z
Co1 Co 0.238 0.238 0.376
Pb1 Pb 0.774 0.774 0.668
Pb2 Pb 0.940 0.940 0.081
Al1 Al 0.548 0.548 0.375
```

- Energy: -0.3257 Ry per atom
- Size of the total moment: 0.00 μB per cell
- Symmetry: No. 8

## Al3CoPb (PBE)

Data for a relaxed Al3CoPb crystal.

Geometry as CIF:
```
data_Al3CoPb
_chemical_formula_sum 'Al3 Co1 Pb1'
_symmetry_space_group_name_H-M 'P 1'
_symmetry_Int_Tables_number 1
_cell_length_a 4.605
_cell_length_b 4.605
_cell_length_c 4.605
_cell_angle_alpha 90.00
_cell_angle_beta 90.00
_cell_angle_gamma 90.00
loop_
_symmetry_equiv_pos_as_xyz
'x,y,z'
loop_
_atom_site_label
_atom_site_type_symbol
_atom_site_fract_x
_atom_site_fract_y
_atom_site_fract_z
Al1 Al 0.000 0.500 0.000
Al2 Al 0.500 0.000 0.000
Al3 Al 0.000 0.000 0.500
Co1 Co 0.000 0.000 0.000
Pb1 Pb 0.500 0.500 0.500
```

- Energy: -0.3219 Ry per atom
- Size of the total moment: 0.00 μB per cell
- Symmetry: No. 221

## AlCoPb (PBE)

Data for a relaxed AlCoPb crystal.

Geometry as CIF:
```
data_AlCoPb
_chemical_formula_sum 'Al1 Co1 Pb1'
_symmetry_space_group_name_H-M 'P 1'
_symmetry_Int_Tables_number 1
_cell_length_a 6.492
_cell_length_b 6.492
_cell_length_c 3.057
_cell_angle_alpha 76.38
_cell_angle_beta 76.38
_cell_angle_gamma 27.23
loop_
_symmetry_equiv_pos_as_xyz
'x,y,z'
loop_
_atom_site_label
_atom_site_type_symbol
_atom_site_fract_x
_atom_site_fract_y
_atom_site_fract_z
Pb1 Pb 0.692 0.692 0.308
Co1 Co 0.359 0.359 0.641
Al1 Al 0.948 0.948 0.052
```

- Energy: -0.3457 Ry per atom
- Size of the total moment: 0.00 μB per cell
- Symmetry: No. 107

## AlCoPb2 (PBE)

Data for a relaxed AlCoPb2 crystal.

Geometry as CIF:
```
data_AlCoPb2
_chemical_formula_sum 'Al2 Co2 Pb4'
_symmetry_space_group_name_H-M 'P 1'
_symmetry_Int_Tables_number 1
_cell_length_a 4.736
_cell_length_b 4.736
_cell_length_c 9.314
_cell_angle_alpha 75.27
_cell_angle_beta 75.27
_cell_angle_gamma 90.00
loop_
_symmetry_equiv_pos_as_xyz
'x,y,z'
loop_
_atom_site_label
_atom_site_type_symbol
_atom_site_fract_x
_atom_site_fract_y
_atom_site_fract_z
Al1 Al 0.250 0.750 0.500
Al2 Al 0.500 0.500 0.000
Pb1 Pb 0.375 0.342 0.750
Pb2 Pb 0.875 0.908 0.750
Pb3 Pb 0.092 0.625 0.250
Pb4 Pb 0.658 0.125 0.250
Co1 Co 0.000 0.000 0.000
Co2 Co 0.750 0.250 0.500
```

- Energy: -0.2894 Ry per atom
- Size of the total moment: 2.56 μB per cell
- Symmetry: No. 122

## AlCoPb2 (PBE)

Data for a relaxed AlCoPb2 crystal.

Geometry as CIF:
```
data_AlCoPb2
_chemical_formula_sum 'Al1 Co1 Pb2'
_symmetry_space_group_name_H-M 'P 1'
_symmetry_Int_Tables_number 1
_cell_length_a 5.026
_cell_length_b 5.026
_cell_length_c 5.026
_cell_angle_alpha 60.00
_cell_angle_beta 60.00
_cell_angle_gamma 60.00
loop_
_symmetry_equiv_pos_as_xyz
'x,y,z'
loop_
_atom_site_label
_atom_site_type_symbol
_atom_site_fract_x
_atom_site_fract_y
_atom_site_fract_z
Al1 Al 0.500 0.500 0.500
Co1 Co 0.750 0.750 0.750
Pb1 Pb 0.250 0.250 0.250
Pb2 Pb 0.000 0.000 0.000
```

- Energy: -0.2891 Ry per atom
- Size of the total moment: 1.33 μB per cell
- Symmetry: No. 216

Here are the calculated energy above the lowest structure with this stoichiometry numbers, same order: 224.1; 457.6; 185.4; 59.4; 0.0; 27.1; 553.4; 557.0 (meV per atom).
Here are the calculated mass density numbers, same order: 9.4; 9.6; 8.7; 8.9; 5.9; 8.5; 8.5; 9.3 (g cm⁻³).